Record 1
# HfTaTe PBE relaxed
data_HfTaTe
_chemical_formula_sum 'Hf4 Ta4 Te4'
_cell_length_a 6.5494
_cell_length_b 6.5494
_cell_length_c 6.5494
_cell_angle_alpha 90.00
_cell_angle_beta 90.00
_cell_angle_gamma 90.00
_space_group_name_H-M_alt 'F -4 3 m'
_space_group_IT_number 216
_space_group_name_Hall 'F -4 2 3'
loop_
_atom_site_label
_atom_site_fract_x
_atom_site_fract_y
_atom_site_fract_z
_atom_site_occupancy
Hf1 0.0000 0.0000 0.0000 1
Ta1 0.0000 0.0000 0.5000 1
Te1 0.2500 0.2500 0.7500 1
# Energy relative to the lowest polymorph listed for this composition (meV per atom): 0

***

Record 2
# Hf2TaTe2 PBE relaxed
data_Hf2TaTe2
_chemical_formula_sum 'Hf4 Ta2 Te4'
_cell_length_a 4.0695
_cell_length_b 4.0695
_cell_length_c 14.1193
_cell_angle_alpha 90.00
_cell_angle_beta 90.00
_cell_angle_gamma 90.00
_space_group_name_H-M_alt 'I 4/m m m'
_space_group_IT_number 139
_space_group_name_Hall '-I 4 2'
loop_
_atom_site_label
_atom_site_fract_x
_atom_site_fract_y
_atom_site_fract_z
_atom_site_occupancy
Hf1 0.0000 0.5000 0.2500 1
Ta1 0.0000 0.0000 0.0000 1
Te1 0.0000 0.0000 0.3952 1
# Energy (eV per atom): -6.99

***

Record 3
# HfTh2Ta2 PBE relaxed
data_HfTh2Ta2
_chemical_formula_sum 'Hf2 Th4 Ta4'
_cell_length_a 9.3301
_cell_length_b 9.3301
_cell_length_c 3.0112
_cell_angle_alpha 90.00
_cell_angle_beta 90.00
_cell_angle_gamma 90.00
_space_group_name_H-M_alt 'P 4/m b m'
_space_group_IT_number 127
_space_group_name_Hall '-P 4 2ab'
loop_
_atom_site_label
_atom_site_fract_x
_atom_site_fract_y
_atom_site_fract_z
_atom_site_occupancy
Hf1 0.0000 0.0000 0.0000 1
Th1 0.1271 0.3729 0.5000 1
Ta1 0.1731 0.6731 0.5000 1
# ΔE_f (eV/atom): 1.08

***

Record 4
# HfTa2Tl PBE relaxed
data_HfTa2Tl
_chemical_formula_sum 'Hf4 Ta8 Tl4'
_cell_length_a 6.8196
_cell_length_b 6.8196
_cell_length_c 6.8196
_cell_angle_alpha 90.00
_cell_angle_beta 90.00
_cell_angle_gamma 90.00
_space_group_name_H-M_alt 'F -4 3 m'
_space_group_IT_number 216
_space_group_name_Hall 'F -4 2 3'
loop_
_atom_site_label
_atom_site_fract_x
_atom_site_fract_y
_atom_site_fract_z
_atom_site_occupancy
Hf1 0.0000 0.0000 0.0000 1
Ta1 0.0000 0.0000 0.5000 1
Ta2 0.2500 0.2500 0.2500 1
Tl1 0.2500 0.2500 0.7500 1
# Energy (eV per atom): -8.69

***

Record 5
# Hf2TaTl PBE relaxed
data_Hf2TaTl
_chemical_formula_sum 'Hf8 Ta4 Tl4'
_cell_length_a 6.9180
_cell_length_b 6.9180
_cell_length_c 6.9180
_cell_angle_alpha 90.00
_cell_angle_beta 90.00
_cell_angle_gamma 90.00
_space_group_name_H-M_alt 'F -4 3 m'
_space_group_IT_number 216
_space_group_name_Hall 'F -4 2 3'
loop_
_atom_site_label
_atom_site_fract_x
_atom_site_fract_y
_atom_site_fract_z
_atom_site_occupancy
Hf1 0.0000 0.0000 0.0000 1
Hf2 0.2500 0.2500 0.2500 1
Ta1 0.2500 0.2500 0.7500 1
Tl1 0.0000 0.0000 0.5000 1
# Energy (eV per atom): -8.17

***

Record 6
# HfTaW2 PBE relaxed
data_HfTaW2
_chemical_formula_sum 'Hf4 Ta4 W8'
_cell_length_a 6.5500
_cell_length_b 6.5500
_cell_length_c 6.5500
_cell_angle_alpha 90.00
_cell_angle_beta 90.00
_cell_angle_gamma 90.00
_space_group_name_H-M_alt 'F -4 3 m'
_space_group_IT_number 216
_space_group_name_Hall 'F -4 2 3'
loop_
_atom_site_label
_atom_site_fract_x
_atom_site_fract_y
_atom_site_fract_z
_atom_site_occupancy
Hf1 0.0000 0.0000 0.0000 1
Ta1 0.2500 0.2500 0.7500 1
W1 0.0000 0.0000 0.5000 1
W2 0.2500 0.2500 0.2500 1
# ΔE_f (eV/atom): 0.06

***

The records above yield volume values of 23.4; 23.4; 26.2; 19.8; 20.7; 17.6 Å³ per atom, respectively.